1.
# Be2Ge5Pd12 (PBE, relaxed)
data_Be2Ge5Pd12
_chemical_formula_sum 'Be4 Ge10 Pd24'
_symmetry_space_group_name_H-M 'C 1 2/m 1'
_symmetry_Int_Tables_number 12
_symmetry_space_group_name_Hall '-C 2y'
_cell_length_a 14.8839
_cell_length_b 5.8392
_cell_length_c 7.8561
_cell_angle_alpha 90.00
_cell_angle_beta 117.04
_cell_angle_gamma 90.00
loop_
_atom_site_label
_atom_site_type_symbol
_atom_site_fract_x
_atom_site_fract_y
_atom_site_fract_z
_atom_site_occupancy
Be1 Be 0.0000 0.1975 0.0000 1
Ge1 Ge 0.0000 0.5000 0.5000 1
Ge2 Ge 0.1778 0.0000 0.3163 1
Ge3 Ge 0.1861 0.0000 0.8187 1
Pd1 Pd 0.0037 0.0000 0.7345 1
Pd2 Pd 0.0354 0.5000 0.2073 1
Pd3 Pd 0.1610 0.2529 0.0461 1
Pd4 Pd 0.1614 0.2599 0.5574 1
# Electronic total energy: -5.25 eV/atom

***

2.
# BeGePd (PBE, relaxed)
data_BeGePd
_chemical_formula_sum 'Be4 Ge4 Pd4'
_symmetry_space_group_name_H-M 'C 1 2/m 1'
_symmetry_Int_Tables_number 12
_symmetry_space_group_name_Hall '-C 2y'
_cell_length_a 10.6569
_cell_length_b 3.0299
_cell_length_c 5.1696
_cell_angle_alpha 90.00
_cell_angle_beta 105.83
_cell_angle_gamma 90.00
loop_
_atom_site_label
_atom_site_type_symbol
_atom_site_fract_x
_atom_site_fract_y
_atom_site_fract_z
_atom_site_occupancy
Be1 Be 0.0010 0.0000 0.2431 1
Ge1 Ge 0.1551 0.5000 0.6029 1
Pd1 Pd 0.1422 0.5000 0.0919 1
# Relative energy among the computed polymorphs: 0.0 meV/atom